Entry 1:
## AlCu2P (PBE)

Data for an optimized crystal structure of AlCu2P.

Cell lengths 5.1405, 7.5289, 2.7969 Å; angles 90.00, 90.00, 90.00 degrees
Closest atoms and distances in Å follow each position.
Space group Cmmm (No. 65)
Unique sites:
Al 0.0000 0.0000 0.0000 [2 per cell]  2 P 2.57, 8 Cu 2.67, 2 Al 2.80
Cu 0.2500 0.2500 0.5000 [4 per cell]  4 Cu 2.57-2.80, 4 Al 2.67, 4 P 2.67
P 0.0000 0.5000 0.0000 [2 per cell]  2 Al 2.57, 8 Cu 2.67, 2 P 2.80

Output
Formation enthalpy at 0 K, eV/atom: 0.050
Size of the total moment, μB/f.u.: 0.00
E above lowest polymorph, eV/atom: 0.079

Entry 2:
## AlTcIr2 (PBE)

Data for an optimized crystal structure of AlTcIr2.

Cell lengths 9.0158, 2.7414, 4.7244 Å; angles 90.00, 99.39, 90.00 degrees
Closest atoms and distances in Å follow each position.
Space group C2/m (No. 12)
Unique sites:
Al 0.0000 0.0000 0.0000 [2 per cell]  6 Ir 2.72-2.73, 4 Tc 2.73, 2 Al 2.74
Tc 0.0000 0.5000 0.5000 [2 per cell]  6 Ir 2.70-2.74, 4 Al 2.73, 2 Tc 2.74
Ir 0.2505 0.0000 0.7490 [4 per cell]  3 Tc 2.70-2.74, 3 Al 2.72-2.73, 6 Ir 2.72-2.74

Output
Formation enthalpy at 0 K, eV/atom: -0.313
Size of the total moment, μB/f.u.: 0.00

Entry 3:
## ScCoHg2 (PBE)

Data for an optimized crystal structure of ScCoHg2.

Cell lengths 3.2065, 3.2065, 7.4222 Å; angles 90.00, 90.00, 90.00 degrees
Closest atoms and distances in Å follow each position.
Space group P4mm (No. 99)
Unique sites:
Sc 0.0000 0.0000 0.0000 [1 per cell]  4 Co 2.64
Co 0.5000 0.5000 0.1827 [1 per cell]  4 Sc 2.64, 4 Hg 2.81
Hg 0.0000 0.0000 0.4073 [1 per cell]  4 Co 2.81, 1 Sc 3.02
Hg 0.5000 0.5000 0.7129 [1 per cell]  4 Sc 3.11, 8 Hg 3.21

Output
Formation enthalpy at 0 K, eV/atom: -0.068
Size of the total moment, μB/f.u.: 0.47

> Which formula does entry 3 have?

ScCoHg2